No. 1
Below is Tm2Sc4Pb3O2 after structural relaxation, with properties calculated at the PBE-GGA level.

The total DFT energy (no corrections) comes out at -70.57 eV per cell. Its raw formation energy is -1.39 eV per atom. As for the space group: No. 139.

a = 12.604 Å, b = 12.604 Å, c = 12.604 Å
α = 159.81°, β = 159.81°, γ = 28.70°
Element x y z (fractional)
Tm (0.191, 0.191, 0.000)
Tm (0.809, 0.809, 0.000)
Sc (0.083, 0.583, 0.500)
Sc (0.417, 0.917, 0.500)
Sc (0.583, 0.083, 0.500)
Sc (0.917, 0.417, 0.500)
Pb (0.322, 0.322, 0.000)
Pb (0.500, 0.500, 0.000)
Pb (0.678, 0.678, 0.000)
O (0.096, 0.096, 0.000)
O (0.904, 0.904, 0.000)

=====

No. 2
Below is Ti7Nb2Zn after structural relaxation, with properties calculated at the PBE-GGA level.

The total DFT energy (no corrections) comes out at -68.72 eV per cell. For the energy of formation from the pure elements, the calculation gives 0.7960 eV/atom. As for the space group: No. 65.

a = 7.486 Å, b = 7.486 Å, c = 4.620 Å
α = 90.00°, β = 90.00°, γ = 124.74°
Element x y z (fractional)
Ti (0.000, 0.000, 0.000)
Ti (0.225, 0.431, 0.000)
Ti (0.263, 0.737, 0.500)
Ti (0.431, 0.225, 0.000)
Ti (0.569, 0.775, 0.000)
Ti (0.737, 0.263, 0.500)
Ti (0.775, 0.569, 0.000)
Nb (0.212, 0.788, 0.000)
Nb (0.788, 0.212, 0.000)
Zn (0.500, 0.500, 0.500)

=====

No. 3
Below is SiNiI2 after structural relaxation, with properties calculated at the PBE-GGA level.

Its distance to the lowest polymorph of the same formula is 0 meV/atom. The total DFT energy (no corrections) comes out at -24.53 eV per cell. Its raw formation energy is 0.51 eV per atom. As for the space group: No. 122.

a = 7.239 Å, b = 7.239 Å, c = 7.239 Å
α = 125.50°, β = 125.50°, γ = 80.72°
Element x y z (fractional)
Si (0.000, 0.000, 0.000)
Si (0.750, 0.250, 0.500)
Ni (0.250, 0.750, 0.500)
Ni (0.500, 0.500, 0.000)
I (0.179, 0.625, 0.054)
I (0.375, 0.429, 0.554)
I (0.571, 0.125, 0.946)
I (0.875, 0.821, 0.446)

=====

No. 4
Below is KCuHgF6 after structural relaxation, with properties calculated at the PBE-GGA level.

The total DFT energy (no corrections) comes out at -32.59 eV per cell. Its raw formation energy is -1.76 eV per atom. As for the space group: No. 149.

a = 5.794 Å, b = 5.794 Å, c = 5.359 Å
α = 90.00°, β = 90.00°, γ = 120.00°
Element x y z (fractional)
K (0.000, 0.000, 0.000)
Cu (0.667, 0.333, 0.500)
Hg (0.333, 0.667, 0.500)
F (0.397, 0.051, 0.703)
F (0.397, 0.346, 0.297)
F (0.654, 0.051, 0.297)
F (0.654, 0.603, 0.703)
F (0.949, 0.346, 0.703)
F (0.949, 0.603, 0.297)

=====

No. 5
Below is Mn4Fe2Re3 after structural relaxation, with properties calculated at the PBE-GGA level.

The total DFT energy (no corrections) comes out at -90.20 eV per cell. For the energy of formation from the pure elements, the calculation gives 0.0830 eV/atom. As for the space group: No. 164.

a = 4.168 Å, b = 4.168 Å, c = 7.677 Å
α = 90.00°, β = 90.00°, γ = 120.00°
Element x y z (fractional)
Mn (0.000, 0.000, 0.165)
Mn (0.000, 0.000, 0.835)
Mn (0.333, 0.667, 0.386)
Mn (0.667, 0.333, 0.614)
Fe (0.333, 0.667, 0.054)
Fe (0.667, 0.333, 0.946)
Re (0.000, 0.000, 0.500)
Re (0.333, 0.667, 0.729)
Re (0.667, 0.333, 0.271)

=====

No. 6
Below is Tb5NiSe4 after structural relaxation, with properties calculated at the PBE-GGA level.

The total DFT energy (no corrections) comes out at -57.91 eV per cell. Its raw formation energy is -1.50 eV per atom. As for the space group: No. 87.

a = 7.067 Å, b = 7.067 Å, c = 7.067 Å
α = 99.73°, β = 99.73°, γ = 131.46°
Element x y z (fractional)
Tb (0.000, 0.000, 0.000)
Tb (0.218, 0.596, 0.815)
Tb (0.404, 0.218, 0.622)
Tb (0.596, 0.782, 0.378)
Tb (0.782, 0.404, 0.185)
Ni (0.500, 0.500, 0.000)
Se (0.092, 0.306, 0.398)
Se (0.306, 0.908, 0.214)
Se (0.694, 0.092, 0.786)
Se (0.908, 0.694, 0.602)

=====

No. 7
Below is TcS after structural relaxation, with properties calculated at the PBE-GGA level.

Its distance to the lowest polymorph of the same formula is 722 meV/atom. The total DFT energy (no corrections) comes out at -13.83 eV per cell. Its raw formation energy is 0.33 eV per atom. As for the space group: No. 225.

a = 3.525 Å, b = 3.525 Å, c = 3.525 Å
α = 60.00°, β = 60.00°, γ = 60.00°
Element x y z (fractional)
Tc (0.000, 0.000, 0.000)
S (0.500, 0.500, 0.500)

=====

No. 8
Below is CrGa2Tc2 after structural relaxation, with properties calculated at the PBE-GGA level.

Its distance to the lowest polymorph of the same formula is 0 meV/atom. The total DFT energy (no corrections) comes out at -71.07 eV per cell. For the energy of formation from the pure elements, the calculation gives 0.1749 eV/atom. As for the space group: No. 127.

a = 6.687 Å, b = 6.687 Å, c = 3.209 Å
α = 90.00°, β = 90.00°, γ = 90.00°
Element x y z (fractional)
Cr (0.000, 0.000, 0.000)
Cr (0.500, 0.500, 0.000)
Ga (0.137, 0.363, 0.000)
Ga (0.363, 0.863, 0.000)
Ga (0.637, 0.137, 0.000)
Ga (0.863, 0.637, 0.000)
Tc (0.164, 0.664, 0.500)
Tc (0.336, 0.164, 0.500)
Tc (0.664, 0.836, 0.500)
Tc (0.836, 0.336, 0.500)

=====

No. 9
Below is Hf2U3TaN6 after structural relaxation, with properties calculated at the PBE-GGA level.

The total DFT energy (no corrections) comes out at -133.20 eV per cell. Its raw formation energy is -1.47 eV per atom. As for the space group: No. 12.

a = 5.589 Å, b = 5.589 Å, c = 5.938 Å
α = 99.05°, β = 99.05°, γ = 119.99°
Element x y z (fractional)
Hf (0.167, 0.833, 0.000)
Hf (0.833, 0.167, 0.000)
U (0.000, 0.000, 0.500)
U (0.333, 0.667, 0.500)
U (0.667, 0.333, 0.500)
Ta (0.500, 0.500, 0.000)
N (0.097, 0.427, 0.781)
N (0.243, 0.243, 0.220)
N (0.427, 0.097, 0.781)
N (0.573, 0.903, 0.219)
N (0.757, 0.757, 0.780)
N (0.903, 0.573, 0.219)

=====

No. 10
Below is Ni2AgAu after structural relaxation, with properties calculated at the PBE-GGA level.

The total DFT energy (no corrections) comes out at -16.78 eV per cell. For the energy of formation from the pure elements, the calculation gives 0.2291 eV/atom. As for the space group: No. 12.

a = 4.643 Å, b = 4.643 Å, c = 4.842 Å
α = 99.67°, β = 99.67°, γ = 34.72°
Element x y z (fractional)
Ni (0.248, 0.248, 0.244)
Ni (0.752, 0.752, 0.756)
Ag (0.000, 0.000, 0.500)
Au (0.500, 0.500, 0.000)

=====

No. 11
Below is CsNa2Au2 after structural relaxation, with properties calculated at the PBE-GGA level.

Its distance to the lowest polymorph of the same formula is 54 meV/atom. The total DFT energy (no corrections) comes out at -22.38 eV per cell. For the energy of formation from the pure elements, the calculation gives -0.2283 eV/atom. As for the space group: No. 127.

a = 9.006 Å, b = 9.006 Å, c = 3.570 Å
α = 90.00°, β = 90.00°, γ = 90.00°
Element x y z (fractional)
Cs (0.000, 0.000, 0.000)
Cs (0.500, 0.500, 0.000)
Na (0.122, 0.378, 0.000)
Na (0.378, 0.878, 0.000)
Na (0.622, 0.122, 0.000)
Na (0.878, 0.622, 0.000)
Au (0.171, 0.671, 0.500)
Au (0.329, 0.171, 0.500)
Au (0.671, 0.829, 0.500)
Au (0.829, 0.329, 0.500)